VASP calculation (GGA-PBE) on Ca5TbPb6 after structural relaxation.

Calculated values
Its symmetry is No. 12. The value obtained for the total magnetic moment is 0.00 μB/atom. For the uncorrected energy, the calculation gives -3.58 eV per atom. The volume is 29.9 A^3/atom.

Unit cell a=9.2812 b=9.2812 c=5.7937 alpha=96.34 beta=96.34 gamma=46.40
With the nearest neighbours (Å) after each atom.
Sites, in units of the cell vectors:
Ca: 0.0000 0.0000 0.0000  8 Pb 3.39-3.46, 2 Ca 3.59, 2 Tb 3.66
Ca: 0.1666 0.1666 0.6746  8 Pb 3.44-3.46, 4 Ca 3.59-3.66
Ca: 0.3275 0.3275 0.3221  8 Pb 3.40-3.48, 3 Ca 3.61-3.66, 1 Tb 3.67
Ca: 0.6725 0.6725 0.6779  8 Pb 3.40-3.48, 3 Ca 3.61-3.66, 1 Tb 3.67
Ca: 0.8334 0.8334 0.3254  8 Pb 3.44-3.46, 4 Ca 3.59-3.66
Tb: 0.5000 0.5000 0.0000  8 Pb 3.35-3.39, 4 Ca 3.66-3.67
Pb: 0.0930 0.5824 0.8255  1 Tb 3.35, 7 Ca 3.39-3.45, 3 Pb 3.53-3.73
Pb: 0.2591 0.7409 0.5000  2 Tb 3.39, 6 Ca 3.46-3.48, 4 Pb 3.52-3.79
Pb: 0.4176 0.9070 0.1745  1 Tb 3.35, 7 Ca 3.39-3.45, 3 Pb 3.53-3.73
Pb: 0.5824 0.0930 0.8255  1 Tb 3.35, 7 Ca 3.39-3.45, 3 Pb 3.53-3.73
Pb: 0.7409 0.2591 0.5000  2 Tb 3.39, 6 Ca 3.46-3.48, 4 Pb 3.52-3.79
Pb: 0.9070 0.4176 0.1745  1 Tb 3.35, 7 Ca 3.39-3.45, 3 Pb 3.53-3.73

=====

VASP calculation (GGA-PBE) on CaTbPb2 after structural relaxation.

Calculated values
Its symmetry is No. 123. The value obtained for the total magnetic moment is 0.00 μB/atom. For the uncorrected energy, the calculation gives -3.97 eV per atom. The volume is 29.4 A^3/atom.

Unit cell a=5.1679 b=5.1679 c=4.3966 alpha=90.00 beta=90.00 gamma=90.00
With the nearest neighbours (Å) after each atom.
Sites, in units of the cell vectors:
Ca: 0.0000 0.0000 0.0000  8 Pb 3.39, 4 Tb 3.65
Tb: 0.5000 0.5000 0.0000  8 Pb 3.39, 4 Ca 3.65
Pb: 0.0000 0.5000 0.5000  4 Tb 3.39, 4 Ca 3.39, 4 Pb 3.65
Pb: 0.5000 0.0000 0.5000  4 Tb 3.39, 4 Ca 3.39, 4 Pb 3.65

=====

VASP calculation (GGA-PBE) on CaTbPb after structural relaxation.

Calculated values
Its symmetry is No. 156. The value obtained for the total magnetic moment is 0.00 μB/atom. For the uncorrected energy, the calculation gives -3.69 eV per atom. The volume is 31.4 A^3/atom.

Unit cell a=5.3479 b=5.3479 c=3.8013 alpha=90.00 beta=90.00 gamma=120.00
With the nearest neighbours (Å) after each atom.
Sites, in units of the cell vectors:
Ca: 0.0000 0.0000 0.0000  3 Pb 3.29, 3 Tb 3.54
Tb: 0.6667 0.3333 0.5455  3 Pb 3.23, 3 Ca 3.54
Pb: 0.3333 0.6667 0.2953  3 Tb 3.23, 3 Ca 3.29